No. 1
Density functional theory data (GGA-PBEsol) for a geometry-optimized CsAlCo3 structure.

Cell: 4.530 4.530 4.530 Å, 90.00 90.00 90.00°
Fractional coordinates of all 5 atoms:
Cs  0.000  0.000  0.000
Al  0.500  0.500  0.500
Co  0.000  0.500  0.500
Co  0.500  0.000  0.500
Co  0.500  0.500  0.000

Values from the calculation:
- Formation energy from the elements: 6.59 eV per formula unit
- Mass density: 6.0 g/cm3

No. 2
Density functional theory data (GGA-PBEsol) for a geometry-optimized CsCdF2 structure.

Cell: 3.970 3.970 23.424 Å, 90.00 90.00 120.00°
Fractional coordinates of all 12 atoms:
Cs  0.000  0.000  0.000
Cs  0.333  0.667  0.667
Cs  0.667  0.333  0.333
Cd  0.000  0.000  0.500
Cd  0.333  0.667  0.167
Cd  0.667  0.333  0.833
F  0.000  0.000  0.408
F  0.000  0.000  0.592
F  0.333  0.667  0.075
F  0.333  0.667  0.259
F  0.667  0.333  0.741
F  0.667  0.333  0.925

Values from the calculation:
- E_form (uncorrected): -705.2 kJ/mol of formula units
- Mass density: 4.4 g/cm3

No. 3
Density functional theory data (GGA-PBEsol) for a geometry-optimized Er6CoTe2 structure.

Cell: 8.132 8.132 3.824 Å, 90.00 90.00 120.00°
Fractional coordinates of all 9 atoms:
Er  0.000  0.236  0.000
Er  0.000  0.603  0.500
Er  0.236  0.000  0.000
Er  0.397  0.397  0.500
Er  0.603  0.000  0.500
Er  0.764  0.764  0.000
Co  0.000  0.000  0.500
Te  0.333  0.667  0.000
Te  0.667  0.333  0.000

Values from the calculation:
- E_form (uncorrected): -606.9 kJ/mol of formula units
- Mass density: 10.0 g/cm3

No. 4
Density functional theory data (GGA-PBEsol) for a geometry-optimized CaCr2Au structure.

Cell: 5.798 9.727 3.024 Å, 90.00 118.32 90.00°
Fractional coordinates of all 8 atoms:
Ca  0.000  0.000  0.000
Ca  0.500  0.500  0.000
Cr  0.250  0.250  0.500
Cr  0.250  0.750  0.500
Cr  0.750  0.250  0.500
Cr  0.750  0.750  0.500
Au  0.000  0.500  0.000
Au  0.500  0.000  0.000

Values from the calculation:
- Formation energy from the elements: 2.80 eV per formula unit
- Mass density: 7.5 g/cm3

No. 5
Density functional theory data (GGA-PBEsol) for a geometry-optimized CoRhCl structure.

Cell: 5.692 5.692 5.692 Å, 90.00 90.00 90.00°
Fractional coordinates of all 12 atoms:
Co  0.000  0.000  0.000
Co  0.000  0.500  0.500
Co  0.500  0.000  0.500
Co  0.500  0.500  0.000
Rh  0.250  0.250  0.750
Rh  0.250  0.750  0.250
Rh  0.750  0.250  0.250
Rh  0.750  0.750  0.750
Cl  0.250  0.250  0.250
Cl  0.250  0.750  0.750
Cl  0.750  0.250  0.750
Cl  0.750  0.750  0.250

Values from the calculation:
- E_form (uncorrected): 206.5 kJ/mol of formula units
- Mass density: 7.1 g/cm3

No. 6
Density functional theory data (GGA-PBEsol) for a geometry-optimized CaLa2Zn2 structure.

Cell: 8.619 8.619 3.716 Å, 90.00 90.00 90.00°
Fractional coordinates of all 10 atoms:
Ca  0.000  0.000  0.000
Ca  0.500  0.500  0.000
La  0.164  0.336  0.500
La  0.336  0.836  0.500
La  0.664  0.164  0.500
La  0.836  0.664  0.500
Zn  0.129  0.629  0.000
Zn  0.371  0.129  0.000
Zn  0.629  0.871  0.000
Zn  0.871  0.371  0.000

Values from the calculation:
- Formation energy from the elements: -0.87 eV per formula unit
- Mass density: 5.4 g/cm3

No. 7
Density functional theory data (GGA-PBEsol) for a geometry-optimized YCoIr2 structure.

Cell: 3.960 3.960 7.823 Å, 90.00 90.00 90.00°
Fractional coordinates of all 8 atoms:
Y  0.000  0.000  0.000
Y  0.500  0.500  0.500
Co  0.000  0.500  0.750
Co  0.500  0.000  0.250
Ir  0.000  0.000  0.500
Ir  0.000  0.500  0.250
Ir  0.500  0.000  0.750
Ir  0.500  0.500  0.000

Values from the calculation:
- Formation energy from the elements: -0.30 eV per formula unit
- Mass density: 14.4 g/cm3

No. 8
Density functional theory data (GGA-PBEsol) for a geometry-optimized MgTa2Be structure.

Cell: 6.276 6.276 6.276 Å, 90.00 90.00 90.00°
Fractional coordinates of all 16 atoms:
Mg  0.000  0.000  0.000
Mg  0.000  0.500  0.500
Mg  0.500  0.000  0.500
Mg  0.500  0.500  0.000
Ta  0.250  0.250  0.250
Ta  0.250  0.250  0.750
Ta  0.250  0.750  0.250
Ta  0.250  0.750  0.750
Ta  0.750  0.250  0.250
Ta  0.750  0.250  0.750
Ta  0.750  0.750  0.250
Ta  0.750  0.750  0.750
Be  0.000  0.000  0.500
Be  0.000  0.500  0.000
Be  0.500  0.000  0.000
Be  0.500  0.500  0.500

Values from the calculation:
- Formation energy from the elements: 2.27 eV per formula unit
- Mass density: 10.6 g/cm3

No. 9
Density functional theory data (GGA-PBEsol) for a geometry-optimized ZrHgSb2 structure.

Cell: 3.243 3.243 33.599 Å, 90.00 90.00 120.00°
Fractional coordinates of all 12 atoms:
Zr  0.000  0.000  0.000
Zr  0.333  0.667  0.667
Zr  0.667  0.333  0.333
Hg  0.000  0.000  0.500
Hg  0.333  0.667  0.167
Hg  0.667  0.333  0.833
Sb  0.000  0.000  0.261
Sb  0.000  0.000  0.739
Sb  0.333  0.667  0.405
Sb  0.333  0.667  0.928
Sb  0.667  0.333  0.072
Sb  0.667  0.333  0.595

Values from the calculation:
- E_form (uncorrected): -74.2 kJ/mol of formula units
- Mass density: 8.7 g/cm3

No. 10
Density functional theory data (GGA-PBEsol) for a geometry-optimized CaTlSe2 structure.

Cell: 3.776 3.776 6.860 Å, 90.00 90.09 90.00°
Fractional coordinates of all 4 atoms:
Ca  0.000  0.000  0.000
Tl  0.000  0.000  0.500
Se  0.500  0.500  0.214
Se  0.500  0.500  0.786

Values from the calculation:
- E_form (uncorrected): -370.8 kJ/mol of formula units
- Mass density: 6.8 g/cm3

No. 11
Density functional theory data (GGA-PBEsol) for a geometry-optimized ReN structure.

Cell: 4.037 4.037 4.037 Å, 90.00 90.00 90.00°
Fractional coordinates of all 6 atoms:
Re  0.000  0.000  0.500
Re  0.000  0.500  0.000
Re  0.500  0.000  0.000
N  0.000  0.500  0.500
N  0.500  0.000  0.500
N  0.500  0.500  0.000

Values from the calculation:
- E_form (uncorrected): -21.4 kJ/mol of formula units
- Mass density: 15.2 g/cm3

No. 12
Density functional theory data (GGA-PBEsol) for a geometry-optimized TlCuIr structure.

Cell: 3.163 3.163 9.420 Å, 90.00 90.00 90.00°
Fractional coordinates of all 6 atoms:
Tl  0.000  0.000  0.000
Tl  0.500  0.500  0.500
Cu  0.000  0.000  0.674
Cu  0.500  0.500  0.174
Ir  0.000  0.000  0.314
Ir  0.500  0.500  0.814

Values from the calculation:
- Formation energy from the elements: 1.31 eV per formula unit
- Mass density: 16.2 g/cm3

No. 13
Density functional theory data (GGA-PBEsol) for a geometry-optimized KCr2Cl structure.

Cell: 3.227 3.227 9.282 Å, 90.00 90.00 90.00°
Fractional coordinates of all 4 atoms:
K  0.000  0.000  0.000
Cr  0.500  0.500  0.316
Cr  0.500  0.500  0.684
Cl  0.000  0.000  0.500

Values from the calculation:
- E_form (uncorrected): 345.4 kJ/mol of formula units
- Mass density: 3.1 g/cm3

No. 14
Density functional theory data (GGA-PBEsol) for a geometry-optimized YSeS2 structure.

Cell: 3.910 3.910 23.384 Å, 90.00 90.00 120.00°
Fractional coordinates of all 12 atoms:
Y  0.000  0.000  0.000
Y  0.333  0.667  0.667
Y  0.667  0.333  0.333
Se  0.000  0.000  0.500
Se  0.333  0.667  0.167
Se  0.667  0.333  0.833
S  0.000  0.000  0.396
S  0.000  0.000  0.604
S  0.333  0.667  0.063
S  0.333  0.667  0.270
S  0.667  0.333  0.730
S  0.667  0.333  0.937

Values from the calculation:
- E_form (uncorrected): -397.9 kJ/mol of formula units
- Mass density: 3.7 g/cm3

No. 15
Density functional theory data (GGA-PBEsol) for a geometry-optimized PAu3 structure.

Cell: 2.886 2.886 9.149 Å, 90.00 90.00 120.00°
Fractional coordinates of all 4 atoms:
P  0.000  0.000  0.000
Au  0.000  0.000  0.500
Au  0.667  0.333  0.239
Au  0.667  0.333  0.761

Values from the calculation:
- Formation energy from the elements: 0.92 eV per formula unit
- Mass density: 15.6 g/cm3

No. 16
Density functional theory data (GGA-PBEsol) for a geometry-optimized InPSe2 structure.

Cell: 3.618 3.618 7.588 Å, 90.00 90.00 90.00°
Fractional coordinates of all 4 atoms:
In  0.000  0.000  0.000
P  0.500  0.500  0.414
Se  0.000  0.000  0.355
Se  0.500  0.500  0.877

Values from the calculation:
- E_form (uncorrected): 29.9 kJ/mol of formula units
- Mass density: 5.1 g/cm3

No. 17
Density functional theory data (GGA-PBEsol) for a geometry-optimized AgBiTeN2 structure.

Cell: 4.277 4.277 6.268 Å, 90.00 90.00 90.00°
Fractional coordinates of all 5 atoms:
Ag  0.000  0.000  0.000
Bi  0.500  0.500  0.500
Te  0.500  0.500  0.000
N  0.000  0.500  0.500
N  0.500  0.000  0.500

Values from the calculation:
- E_form (uncorrected): 737.4 kJ/mol of formula units
- Mass density: 6.8 g/cm3

No. 18
Density functional theory data (GGA-PBEsol) for a geometry-optimized Y2MgAl structure.

Cell: 7.282 7.282 7.282 Å, 90.00 90.00 90.00°
Fractional coordinates of all 16 atoms:
Y  0.250  0.250  0.250
Y  0.250  0.250  0.750
Y  0.250  0.750  0.250
Y  0.250  0.750  0.750
Y  0.750  0.250  0.250
Y  0.750  0.250  0.750
Y  0.750  0.750  0.250
Y  0.750  0.750  0.750
Mg  0.000  0.000  0.000
Mg  0.000  0.500  0.500
Mg  0.500  0.000  0.500
Mg  0.500  0.500  0.000
Al  0.000  0.000  0.500
Al  0.000  0.500  0.000
Al  0.500  0.000  0.000
Al  0.500  0.500  0.500

Values from the calculation:
- Formation energy from the elements: -1.23 eV per formula unit
- Mass density: 3.9 g/cm3

No. 19
Density functional theory data (GGA-PBEsol) for a geometry-optimized ZrTlSb4 structure.

Cell: 6.100 6.100 6.100 Å, 60.00 60.00 60.00°
Fractional coordinates of all 6 atoms:
Zr  0.000  0.000  0.000
Tl  0.750  0.750  0.750
Sb  0.374  0.374  0.374
Sb  0.374  0.374  0.877
Sb  0.374  0.877  0.374
Sb  0.877  0.374  0.374

Values from the calculation:
- E_form (uncorrected): 158.2 kJ/mol of formula units
- Mass density: 8.1 g/cm3

No. 20
Density functional theory data (GGA-PBEsol) for a geometry-optimized PPbCl2 structure.

Cell: 3.313 3.313 28.360 Å, 90.00 90.00 120.00°
Fractional coordinates of all 12 atoms:
P  0.000  0.000  0.000
P  0.333  0.667  0.667
P  0.667  0.333  0.333
Pb  0.000  0.000  0.500
Pb  0.333  0.667  0.167
Pb  0.667  0.333  0.833
Cl  0.000  0.000  0.081
Cl  0.000  0.000  0.919
Cl  0.333  0.667  0.586
Cl  0.333  0.667  0.747
Cl  0.667  0.333  0.253
Cl  0.667  0.333  0.414

Values from the calculation:
- E_form (uncorrected): -48.8 kJ/mol of formula units
- Mass density: 5.7 g/cm3

No. 21
Density functional theory data (GGA-PBEsol) for a geometry-optimized Al2ZnHg structure.

Cell: 5.453 10.106 3.126 Å, 90.00 123.21 90.00°
Fractional coordinates of all 8 atoms:
Al  0.250  0.250  0.000
Al  0.250  0.750  0.000
Al  0.750  0.250  0.000
Al  0.750  0.750  0.000
Zn  0.000  0.000  0.000
Zn  0.500  0.500  0.000
Hg  0.000  0.500  0.000
Hg  0.500  0.000  0.000

Values from the calculation:
- Formation energy from the elements: 0.48 eV per formula unit
- Mass density: 7.4 g/cm3

No. 22
Density functional theory data (GGA-PBEsol) for a geometry-optimized NaBiI2N structure.

Cell: 5.765 5.765 4.324 Å, 90.00 90.00 90.00°
Fractional coordinates of all 5 atoms:
Na  0.000  0.000  0.000
Bi  0.500  0.500  0.500
I  0.000  0.500  0.000
I  0.500  0.000  0.000
N  0.000  0.000  0.500

Values from the calculation:
- E_form (uncorrected): 360.4 kJ/mol of formula units
- Mass density: 5.8 g/cm3

No. 23
Density functional theory data (GGA-PBEsol) for a geometry-optimized Sn3P3O13 structure.

Cell: 7.625 6.571 10.961 Å, 90.00 96.26 90.00°
Fractional coordinates of all 38 atoms:
Sn  0.000  0.000  0.000
Sn  0.000  0.500  0.000
Sn  0.230  0.250  0.546
Sn  0.358  0.750  0.203
Sn  0.642  0.250  0.797
Sn  0.770  0.750  0.454
P  0.209  0.750  0.480
P  0.240  0.250  0.227
P  0.312  0.250  0.881
P  0.688  0.750  0.119
P  0.760  0.750  0.773
P  0.791  0.250  0.520
O  0.025  0.750  0.405
O  0.075  0.250  0.120
O  0.122  0.750  0.092
O  0.159  0.250  0.347
O  0.211  0.055  0.907
O  0.211  0.445  0.907
O  0.243  0.566  0.566
O  0.243  0.934  0.566
O  0.347  0.061  0.202
O  0.347  0.439  0.202
O  0.349  0.750  0.385
O  0.356  0.250  0.743
O  0.498  0.750  0.052
O  0.502  0.250  0.948
O  0.644  0.750  0.257
O  0.651  0.250  0.615
O  0.653  0.561  0.798
O  0.653  0.939  0.798
O  0.757  0.066  0.434
O  0.757  0.434  0.434
O  0.789  0.555  0.093
O  0.789  0.945  0.093
O  0.841  0.750  0.653
O  0.878  0.250  0.908
O  0.925  0.750  0.880
O  0.975  0.250  0.595

Values from the calculation:
- E_form (uncorrected): -3446.4 kJ/mol of formula units
- Mass density: 4.0 g/cm3

No. 24
Density functional theory data (GGA-PBEsol) for a geometry-optimized PC structure.

Cell: 3.856 3.856 3.856 Å, 90.00 90.00 90.00°
Fractional coordinates of all 6 atoms:
P  0.000  0.000  0.500
P  0.000  0.500  0.000
P  0.500  0.000  0.000
C  0.000  0.500  0.500
C  0.500  0.000  0.500
C  0.500  0.500  0.000

Values from the calculation:
- Formation energy from the elements: 3.41 eV per formula unit
- Mass density: 3.7 g/cm3

No. 25
Density functional theory data (GGA-PBEsol) for a geometry-optimized IrRuAu2 structure.

Cell: 9.193 2.780 4.824 Å, 90.00 99.97 90.00°
Fractional coordinates of all 8 atoms:
Ir  0.000  0.000  0.000
Ir  0.500  0.500  0.000
Ru  0.000  0.500  0.500
Ru  0.500  0.000  0.500
Au  0.248  0.000  0.748
Au  0.252  0.500  0.252
Au  0.748  0.500  0.748
Au  0.752  0.000  0.252

Values from the calculation:
- Formation energy from the elements: 1.61 eV per formula unit
- Mass density: 18.8 g/cm3

No. 26
Density functional theory data (GGA-PBEsol) for a geometry-optimized InBiPt3 structure.

Cell: 5.033 5.033 5.033 Å, 90.00 90.00 90.00°
Fractional coordinates of all 5 atoms:
In  0.000  0.000  0.000
Bi  0.500  0.500  0.500
Pt  0.000  0.500  0.500
Pt  0.500  0.000  0.500
Pt  0.500  0.500  0.000

Values from the calculation:
- Formation energy from the elements: 5.22 eV per formula unit
- Mass density: 11.8 g/cm3

No. 27
Density functional theory data (GGA-PBEsol) for a geometry-optimized Y2ZrIr2 structure.

Cell: 7.014 7.014 4.312 Å, 90.00 90.00 90.00°
Fractional coordinates of all 10 atoms:
Y  0.171  0.329  0.000
Y  0.329  0.829  0.000
Y  0.671  0.171  0.000
Y  0.829  0.671  0.000
Zr  0.000  0.000  0.500
Zr  0.500  0.500  0.500
Ir  0.137  0.637  0.500
Ir  0.363  0.137  0.500
Ir  0.637  0.863  0.500
Ir  0.863  0.363  0.500

Values from the calculation:
- Formation energy from the elements: -3.42 eV per formula unit
- Mass density: 10.2 g/cm3

no.,uncorrected energy (eV per atom)
1,-4.33
2,-3.33
3,-5.63
4,-5.93
5,-5.25
6,-3.37
7,-8.63
8,-7.14
9,-4.89
10,-4.08
11,-11.04
12,-5.16
13,-5.01
14,-5.89
15,-4.16
16,-4.04
17,-4.11
18,-5.17
19,-4.72
20,-3.58
21,-2.46
22,-2.80
23,-7.06
24,-6.01
25,-6.56
26,-4.59
27,-9.16